[1]
First-principles (PBE) data for a geometry-optimized PrErS2O8 structure, as listed in Alexandria.

Properties
total magnetization = 0.00 μB per formula unit
uncorrected formation energy = -1845 meV per atom

Cell: 5.711 5.711 6.417 Å, 90.00 90.00 120.00°
Atoms (fractional coordinates):
O 0.189 0.811 0.788
O 0.667 0.333 0.517
Er 0.000 0.000 0.000
O 0.333 0.667 0.483
O 0.189 0.377 0.788
Pr 0.000 0.000 0.500
S 0.333 0.667 0.711
O 0.811 0.189 0.212
O 0.377 0.189 0.212
O 0.811 0.623 0.212
O 0.623 0.811 0.788
S 0.667 0.333 0.289

***

[2]
First-principles (PBE) data for a geometry-optimized PrErS2O structure, as listed in Alexandria.

Properties
total magnetization = 0.00 μB per formula unit
uncorrected formation energy = -2475 meV per atom

Cell: 3.947 3.947 13.951 Å, 90.00 90.00 90.00°
Atoms (fractional coordinates):
Er 0.000 0.500 0.881
Pr 0.000 0.500 0.409
S 0.000 0.500 0.090
S 0.500 0.000 0.297
O 0.500 0.500 0.500
Er 0.500 0.000 0.119
Pr 0.500 0.000 0.591
S 0.000 0.500 0.703
S 0.500 0.000 0.910
O 0.000 0.000 0.500